Below is crystalline NbFeAgPb at its relaxed geometry, with properties calculated at the PBE level.

Energy relative to the lowest polymorph listed for this composition in meV per atom: 0

a b c (Å): 6.5374 6.5374 6.5374
angles (deg): 90.00 90.00 90.00
Last column: nearest neighbours and their distance in Å.
Element x y z (fractional)
Nb: 0.0000 0.0000 0.0000  4 Fe 2.83, 4 Ag 2.83
Nb: 0.0000 0.5000 0.5000  4 Fe 2.83, 4 Ag 2.83
Nb: 0.5000 0.0000 0.5000  4 Fe 2.83, 4 Ag 2.83
Nb: 0.5000 0.5000 0.0000  4 Fe 2.83, 4 Ag 2.83
Fe: 0.2500 0.2500 0.7500  4 Nb 2.83, 4 Pb 2.83
Fe: 0.2500 0.7500 0.2500  4 Nb 2.83, 4 Pb 2.83
Fe: 0.7500 0.2500 0.2500  4 Nb 2.83, 4 Pb 2.83
Fe: 0.7500 0.7500 0.7500  4 Nb 2.83, 4 Pb 2.83
Ag: 0.2500 0.2500 0.2500  4 Nb 2.83, 4 Pb 2.83
Ag: 0.2500 0.7500 0.7500  4 Nb 2.83, 4 Pb 2.83
Ag: 0.7500 0.2500 0.7500  4 Nb 2.83, 4 Pb 2.83
Ag: 0.7500 0.7500 0.2500  4 Nb 2.83, 4 Pb 2.83
Pb: 0.0000 0.0000 0.5000  4 Fe 2.83, 4 Ag 2.83
Pb: 0.0000 0.5000 0.0000  4 Fe 2.83, 4 Ag 2.83
Pb: 0.5000 0.0000 0.0000  4 Fe 2.83, 4 Ag 2.83
Pb: 0.5000 0.5000 0.5000  4 Fe 2.83, 4 Ag 2.83